# 1
VASP calculation (GGA-PBE) on an optimized crystal structure of SrMoPb2.

```
data_SrMoPb2
_chemical_formula_sum 'Sr2 Mo2 Pb4'
_space_group_name_H-M_alt 'I -4 m 2'
_space_group_IT_number 119
_space_group_name_Hall 'I -4 -2'
_cell_length_a 4.578
_cell_length_b 4.578
_cell_length_c 10.501
_cell_angle_alpha 90.00
_cell_angle_beta 90.00
_cell_angle_gamma 90.00
loop_
_atom_site_label
_atom_site_type_symbol
_atom_site_fract_x
_atom_site_fract_y
_atom_site_fract_z
_atom_site_occupancy
Sr1 Sr 0.000 0.000 0.000 1
Mo1 Mo 0.000 0.500 0.750 1
Pb1 Pb 0.000 0.000 0.500 1
Pb2 Pb 0.000 0.500 0.250 1
```

Output
- Calculated volume: 110.0 Å³/f.u.
- DFT total energy: -4.46 eV/atom
- Energy of formation: 0.52 eV per atom
- Fermi-level density of states: 7.79 states/eV/cell

# 2
VASP calculation (GGA-PBE) on an optimized crystal structure of SrMoPb.

```
data_SrMoPb
_chemical_formula_sum 'Sr4 Mo4 Pb4'
_space_group_name_H-M_alt 'F m m 2'
_space_group_IT_number 42
_space_group_name_Hall 'F 2 -2'
_cell_length_a 4.167
_cell_length_b 5.082
_cell_length_c 14.579
_cell_angle_alpha 90.00
_cell_angle_beta 90.00
_cell_angle_gamma 90.00
loop_
_atom_site_label
_atom_site_type_symbol
_atom_site_fract_x
_atom_site_fract_y
_atom_site_fract_z
_atom_site_occupancy
Sr1 Sr 0.000 0.000 0.000 1
Mo1 Mo 0.000 0.000 0.669 1
Pb1 Pb 0.000 0.000 0.304 1
```

Output
- Calculated volume: 77.2 Å³/f.u.
- DFT total energy: -4.74 eV/atom
- Energy of formation: 0.66 eV per atom
- Fermi-level density of states: 8.43 states/eV/cell

- Fermi-level density of states of number 2 (SrMoPb)?
  8.43 states/eV/cell

Copy entry 1 word for word.
VASP calculation (GGA-PBE) on an optimized crystal structure of SrMoPb2.

```
data_SrMoPb2
_chemical_formula_sum 'Sr2 Mo2 Pb4'
_space_group_name_H-M_alt 'I -4 m 2'
_space_group_IT_number 119
_space_group_name_Hall 'I -4 -2'
_cell_length_a 4.578
_cell_length_b 4.578
_cell_length_c 10.501
_cell_angle_alpha 90.00
_cell_angle_beta 90.00
_cell_angle_gamma 90.00
loop_
_atom_site_label
_atom_site_type_symbol
_atom_site_fract_x
_atom_site_fract_y
_atom_site_fract_z
_atom_site_occupancy
Sr1 Sr 0.000 0.000 0.000 1
Mo1 Mo 0.000 0.500 0.750 1
Pb1 Pb 0.000 0.000 0.500 1
Pb2 Pb 0.000 0.500 0.250 1
```

Output
- Calculated volume: 110.0 Å³/f.u.
- DFT total energy: -4.46 eV/atom
- Energy of formation: 0.52 eV per atom
- Fermi-level density of states: 7.79 states/eV/cell

- What is the formula in the second record?
  SrMoPb